# 1
PBE Ac2InAsPd6, optimized geometry; ΔH_f (0 K) = -706.0 meV per atom; symmetry = P-1 (2); calculated volume = 223 Å³/f.u.; energy = -5.382 eV/atom
1.0
-1.5663 -4.5159 5.2950
5.8953 0.1039 3.0665
0.0133 2.4319 5.1268
Ac Pd As In
2 6 1 1
direct
0.7268 0.2231 0.5237
0.2732 0.7769 0.4763
0.7554 0.7623 0.4873
0.2438 0.2376 0.0059
0.0957 0.5948 0.1558
0.9043 0.4052 0.8442
0.7562 0.7624 0.9941
0.2446 0.2376 0.5127
0.0000 0.0000 0.0000
0.5000 0.5000 0.0000


# 2
PBE Pm3Sm4HoSe8, optimized geometry; energy relative to the elements, uncorrected = -1805 meV/atom; symmetry = R-3m (166); calculated volume = 410 Å³/f.u.; energy = -5.904 eV/atom
1.0
-7.6610 -1.9388 2.6695
0.1226 -6.9076 -4.6650
6.0996 1.4237 5.5072
Se Pm Sm Ho
8 3 4 1
direct
0.7542 0.2527 0.5084
0.7509 0.7523 0.5018
0.7556 0.7474 0.0017
0.2458 0.7473 0.4916
0.2444 0.2526 0.9983
0.7540 0.2526 0.9983
0.2460 0.7474 0.0017
0.2491 0.2477 0.4982
0.0000 0.5000 0.5000
0.5000 0.5000 0.0000
0.5000 0.5000 0.5000
0.0000 0.0000 0.0000
0.5000 0.0000 0.5000
0.5000 0.0000 0.0000
0.0000 0.0000 0.5000
0.0000 0.5000 0.0000